# PBE-GGA Sm5GeS4, relaxed
# Formation energy from raw total energies: -42.3 kcal/mol of atoms
# Spin magnetization: 0.0 μB/f.u.
data_Sm5GeS4
_chemical_formula_sum 'Sm10 Ge2 S8'
_space_group_name_H-M_alt 'I 4/m'
_space_group_IT_number 87
_space_group_name_Hall '-I 4'
_cell_length_a 9.0993
_cell_length_b 9.0993
_cell_length_c 5.7341
_cell_angle_alpha 90.00
_cell_angle_beta 90.00
_cell_angle_gamma 90.00
loop_
_atom_site_label
_atom_site_type_symbol
_atom_site_fract_x
_atom_site_fract_y
_atom_site_fract_z
Sm1 Sm 0.0000 0.0000 0.0000
Sm2 Sm 0.0999 0.3008 0.5000
Ge1 Ge 0.0000 0.0000 0.5000
S1 S 0.1015 0.3008 0.0000

=====

# PBE-GGA Sm8Ge3S4, relaxed
# Formation energy from raw total energies: -33.2 kcal/mol of atoms
# Spin magnetization: 0.0 μB/f.u.
data_Sm8Ge3S4
_chemical_formula_sum 'Sm16 Ge6 S8'
_space_group_name_H-M_alt 'C 1 2/m 1'
_space_group_IT_number 12
_space_group_name_Hall '-C 2y'
_cell_length_a 11.5799
_cell_length_b 11.6004
_cell_length_c 8.1767
_cell_angle_alpha 90.00
_cell_angle_beta 134.78
_cell_angle_gamma 90.00
loop_
_atom_site_label
_atom_site_type_symbol
_atom_site_fract_x
_atom_site_fract_y
_atom_site_fract_z
Sm1 Sm 0.0000 0.2478 0.0000
Sm2 Sm 0.0000 0.2489 0.5000
Sm3 Sm 0.2480 0.0000 0.4941
Sm4 Sm 0.2476 0.0000 0.9965
Ge1 Ge 0.0000 0.5000 0.5000
Ge2 Ge 0.2500 0.2500 0.0000
S1 S 0.0000 0.0000 0.0000
S2 S 0.0000 0.0000 0.5000
S3 S 0.2500 0.2500 0.5000

=====

# PBE-GGA Sm2GeS, relaxed
# Formation energy from raw total energies: -30.4 kcal/mol of atoms
# Spin magnetization: 0.0 μB/f.u.
# ΔE to the lowest computed polymorph: 179.1 meV per atom
data_Sm2GeS
_chemical_formula_sum 'Sm6 Ge3 S3'
_space_group_name_H-M_alt 'R 3 m'
_space_group_IT_number 160
_space_group_name_Hall 'R 3 -2"'
_cell_length_a 4.0812
_cell_length_b 4.0812
_cell_length_c 21.4735
_cell_angle_alpha 90.00
_cell_angle_beta 90.00
_cell_angle_gamma 120.00
loop_
_atom_site_label
_atom_site_type_symbol
_atom_site_fract_x
_atom_site_fract_y
_atom_site_fract_z
Sm1 Sm 0.0000 0.0000 0.0000
Sm2 Sm 0.0000 0.0000 0.1732
Ge1 Ge 0.0000 0.0000 0.5865
S1 S 0.0000 0.0000 0.7563

=====

# PBE-GGA Sm8GeS6, relaxed
# Formation energy from raw total energies: -35.3 kcal/mol of atoms
# Spin magnetization: 0.0 μB/f.u.
data_Sm8GeS6
_chemical_formula_sum 'Sm8 Ge1 S6'
_space_group_name_H-M_alt 'P -3'
_space_group_IT_number 147
_space_group_name_Hall '-P 3'
_cell_length_a 10.3351
_cell_length_b 10.3351
_cell_length_c 4.0564
_cell_angle_alpha 90.00
_cell_angle_beta 90.00
_cell_angle_gamma 120.00
loop_
_atom_site_label
_atom_site_type_symbol
_atom_site_fract_x
_atom_site_fract_y
_atom_site_fract_z
Sm1 Sm 0.0330 0.3286 0.2451
Sm2 Sm 0.3333 0.6667 0.7516
Ge1 Ge 0.0000 0.0000 0.0000
S1 S 0.1346 0.6522 0.2512

=====

# PBE-GGA SmGeS, relaxed
# Formation energy from raw total energies: -24.7 kcal/mol of atoms
# Spin magnetization: 0.0 μB/f.u.
# ΔE to the lowest computed polymorph: 248.2 meV per atom
data_SmGeS
_chemical_formula_sum 'Sm4 Ge4 S4'
_space_group_name_H-M_alt 'C m c m'
_space_group_IT_number 63
_space_group_name_Hall '-C 2c 2'
_cell_length_a 4.8111
_cell_length_b 14.1198
_cell_length_c 4.3378
_cell_angle_alpha 90.00
_cell_angle_beta 90.00
_cell_angle_gamma 90.00
loop_
_atom_site_label
_atom_site_type_symbol
_atom_site_fract_x
_atom_site_fract_y
_atom_site_fract_z
Sm1 Sm 0.0000 0.1437 0.2500
Ge1 Ge 0.0000 0.4524 0.2500
S1 S 0.0000 0.2598 0.7500

=====

# PBE-GGA SmGeS3, relaxed
# Formation energy from raw total energies: -26.3 kcal/mol of atoms
# Spin magnetization: 0.0 μB/f.u.
# ΔE to the lowest computed polymorph: 0.0 meV per atom
data_SmGeS3
_chemical_formula_sum 'Sm4 Ge4 S12'
_space_group_name_H-M_alt 'P 1 21/c 1'
_space_group_IT_number 14
_space_group_name_Hall '-P 2ybc'
_cell_length_a 6.7066
_cell_length_b 7.4147
_cell_length_c 11.1364
_cell_angle_alpha 90.00
_cell_angle_beta 123.80
_cell_angle_gamma 90.00
loop_
_atom_site_label
_atom_site_type_symbol
_atom_site_fract_x
_atom_site_fract_y
_atom_site_fract_z
Sm1 Sm 0.2108 0.1260 0.2525
Ge1 Ge 0.1545 0.6059 0.0714
S1 S 0.0734 0.1731 0.9274
S2 S 0.2861 0.6909 0.9357
S3 S 0.4301 0.0270 0.7761

=====

# PBE-GGA Sm2GeS, relaxed
# Formation energy from raw total energies: -33.6 kcal/mol of atoms
# Spin magnetization: 0.0 μB/f.u.
# ΔE to the lowest computed polymorph: 39.8 meV per atom
data_Sm2GeS
_chemical_formula_sum 'Sm6 Ge3 S3'
_space_group_name_H-M_alt 'R -3 m'
_space_group_IT_number 166
_space_group_name_Hall '-R 3 2"'
_cell_length_a 4.1354
_cell_length_b 4.1354
_cell_length_c 20.3793
_cell_angle_alpha 90.00
_cell_angle_beta 90.00
_cell_angle_gamma 120.00
loop_
_atom_site_label
_atom_site_type_symbol
_atom_site_fract_x
_atom_site_fract_y
_atom_site_fract_z
Sm1 Sm 0.0000 0.0000 0.2505
Ge1 Ge 0.0000 0.0000 0.5000
S1 S 0.0000 0.0000 0.0000

=====

# PBE-GGA Sm2GeS, relaxed
# Formation energy from raw total energies: -34.5 kcal/mol of atoms
# Spin magnetization: 0.0 μB/f.u.
# ΔE to the lowest computed polymorph: 0.0 meV per atom
data_Sm2GeS
_chemical_formula_sum 'Sm8 Ge4 S4'
_space_group_name_H-M_alt 'I 41/a m d'
_space_group_IT_number 141
_cell_length_a 5.8458
_cell_length_b 5.8458
_cell_length_c 11.7206
_cell_angle_alpha 90.00
_cell_angle_beta 90.00
_cell_angle_gamma 90.00
loop_
_space_group_symop_operation_xyz
'x,y,z'
'-x,-y,-z'
'-y+1/4,x+3/4,z+1/4'
'y+1/4,-x+3/4,-z+1/4'
'-x+1/2,-y,z+1/2'
'x+1/2,y,-z+1/2'
'y+1/4,-x+1/4,z+3/4'
'-y+1/4,x+1/4,-z+3/4'
'x,-y,-z'
'-x,y,z'
'-y+1/4,-x+1/4,-z+3/4'
'y+1/4,x+1/4,z+3/4'
'-x+1/2,y,-z+1/2'
'x+1/2,-y,z+1/2'
'y+1/4,x+3/4,-z+1/4'
'-y+1/4,-x+3/4,z+1/4'
'x+1/2,y+1/2,z+1/2'
'-x+1/2,-y+1/2,-z+1/2'
'-y+3/4,x+1/4,z+3/4'
'y+3/4,-x+1/4,-z+3/4'
'-x,-y+1/2,z'
'x,y+1/2,-z'
'y+3/4,-x+3/4,z+1/4'
'-y+3/4,x+3/4,-z+1/4'
'x+1/2,-y+1/2,-z+1/2'
'-x+1/2,y+1/2,z+1/2'
'-y+3/4,-x+3/4,-z+1/4'
'y+3/4,x+3/4,z+1/4'
'-x,y+1/2,-z'
'x,-y+1/2,z'
'y+3/4,x+1/4,-z+3/4'
'-y+3/4,-x+1/4,z+3/4'
loop_
_atom_site_label
_atom_site_type_symbol
_atom_site_fract_x
_atom_site_fract_y
_atom_site_fract_z
Sm1 Sm 0.0000 0.2500 0.1225
Ge1 Ge 0.0000 0.2500 0.3750
S1 S 0.0000 0.2500 0.8750

=====

# PBE-GGA Sm5GeS5, relaxed
# Formation energy from raw total energies: -42.7 kcal/mol of atoms
# Spin magnetization: 0.0 μB/f.u.
data_Sm5GeS5
_chemical_formula_sum 'Sm10 Ge2 S10'
_space_group_name_H-M_alt 'C 1 2/m 1'
_space_group_IT_number 12
_space_group_name_Hall '-C 2y'
_cell_length_a 12.8664
_cell_length_b 5.7191
_cell_length_c 8.1385
_cell_angle_alpha 90.00
_cell_angle_beta 108.35
_cell_angle_gamma 90.00
loop_
_atom_site_label
_atom_site_type_symbol
_atom_site_fract_x
_atom_site_fract_y
_atom_site_fract_z
Sm1 Sm 0.0000 0.0000 0.0000
Sm2 Sm 0.1613 0.5000 0.8234
Sm3 Sm 0.1660 0.5000 0.3375
Ge1 Ge 0.0000 0.5000 0.0000
S1 S 0.0000 0.5000 0.5000
S2 S 0.1701 0.0000 0.3321
S3 S 0.1730 0.0000 0.8427

=====

# PBE-GGA Sm3GeS6, relaxed
# Formation energy from raw total energies: -36.4 kcal/mol of atoms
# Spin magnetization: 0.0 μB/f.u.
data_Sm3GeS6
_chemical_formula_sum 'Sm12 Ge4 S24'
_space_group_name_H-M_alt 'C m c 21'
_space_group_IT_number 36
_space_group_name_Hall 'C 2c -2'
_cell_length_a 10.8752
_cell_length_b 13.5556
_cell_length_c 6.7121
_cell_angle_alpha 90.00
_cell_angle_beta 90.00
_cell_angle_gamma 90.00
loop_
_atom_site_label
_atom_site_type_symbol
_atom_site_fract_x
_atom_site_fract_y
_atom_site_fract_z
Sm1 Sm 0.0000 0.0995 0.0000
Sm2 Sm 0.1855 0.4007 0.0809
Ge1 Ge 0.0000 0.3014 0.6228
S1 S 0.0000 0.2821 0.2549
S2 S 0.0000 0.4634 0.7720
S3 S 0.1614 0.0270 0.2903
S4 S 0.1666 0.2348 0.7995

=====

# PBE-GGA SmGeS2, relaxed
# Formation energy from raw total energies: -10.5 kcal/mol of atoms
# Spin magnetization: 0.0 μB/f.u.
data_SmGeS2
_chemical_formula_sum 'Sm3 Ge3 S6'
_space_group_name_H-M_alt 'R -3 m'
_space_group_IT_number 166
_space_group_name_Hall '-R 3 2"'
_cell_length_a 3.7285
_cell_length_b 3.7285
_cell_length_c 24.7125
_cell_angle_alpha 90.00
_cell_angle_beta 90.00
_cell_angle_gamma 120.00
loop_
_atom_site_label
_atom_site_type_symbol
_atom_site_fract_x
_atom_site_fract_y
_atom_site_fract_z
Sm1 Sm 0.0000 0.0000 0.0000
Ge1 Ge 0.0000 0.0000 0.5000
S1 S 0.0000 0.0000 0.1084

=====

# PBE-GGA SmGeS3, relaxed
# Formation energy from raw total energies: -23.8 kcal/mol of atoms
# Spin magnetization: 0.0 μB/f.u.
# ΔE to the lowest computed polymorph: 109.1 meV per atom
data_SmGeS3
_chemical_formula_sum 'Sm4 Ge4 S12'
_space_group_name_H-M_alt 'P n a 21'
_space_group_IT_number 33
_space_group_name_Hall 'P 2c -2n'
_cell_length_a 7.4515
_cell_length_b 6.6651
_cell_length_c 9.6598
_cell_angle_alpha 90.00
_cell_angle_beta 90.00
_cell_angle_gamma 90.00
loop_
_atom_site_label
_atom_site_type_symbol
_atom_site_fract_x
_atom_site_fract_y
_atom_site_fract_z
Sm1 Sm 0.1178 0.0800 0.0000
Ge1 Ge 0.1777 0.5875 0.1322
S1 S 0.1088 0.2730 0.5120
S2 S 0.1554 0.7987 0.6867
S3 S 0.1612 0.7911 0.3229

=====

Result set for energy: -6.305, -5.982, -5.862, -6.006, -5.560, -5.484, -6.002, -6.041, -6.294, -5.934, -4.852, -5.375 eV/atom, one per record in the order listed.
Result set for DOS(E_F): 4.5, 5.6, 2.6, 11.0, 0.8, 0.0, 1.5, 0.9, 2.5, 4.0, 1.2, 1.5 states/eV/f.u., one per record in the order listed.
Result set for calculated volume: 23.74, 25.99, 25.81, 25.02, 24.56, 23.01, 25.15, 25.03, 25.84, 24.74, 24.79, 23.99 Å³ per atom, one per record in the order listed.